# Tl3CoCu2F9, optimized geometry, DFT GGA+U
data_Tl3CoCu2F9
_symmetry_space_group_name_H-M 'P -3 m 1'
_symmetry_Int_Tables_number 164
_symmetry_space_group_name_Hall '-P 3 2"'
_cell_length_a 5.9177
_cell_length_b 5.9177
_cell_length_c 7.2293
_cell_angle_alpha 90.00
_cell_angle_beta 90.00
_cell_angle_gamma 120.00
loop_
_atom_site_label
_atom_site_type_symbol
_atom_site_fract_x
_atom_site_fract_y
_atom_site_fract_z
Tl1 Tl 0.0000 0.0000 0.0000
Tl2 Tl 0.3333 0.6667 0.6758
Co1 Co 0.0000 0.0000 0.5000
Cu1 Cu 0.3333 0.6667 0.1653
F1 F 0.0000 0.5000 0.0000
F2 F 0.1620 0.3240 0.3427
# **Electronic total energy**: -4.2082 eV/atom
# **ρ**: 7.3 g/cm³
# **Magnetization**: 5.0 Bohr magnetons per cell